[1]
Here is LiTaTc2 at its PBEsol-relaxed geometry from Alexandria via LeMat-Bulk. Energies are from SCAN.

Output
density = 10.77 g cm⁻³
polymorph energy (0 for the lowest one) = 0.123 eV/atom
DOS at the Fermi energy = 2.79 states/eV/f.u.
energy of formation from the pure elements = 225 meV/atom
uncorrected energy = -138.2 eV/cell
calculated volume = 59.2 Å³ per cell

Lattice parameters (Å, degrees): 5.120 5.120 2.528 90.00 90.00 116.68
Positions (direct):
Li (0.000, 0.000, 0.000)
Ta (0.500, 0.500, 0.000)
Tc (0.000, 0.500, 0.500)
Tc (0.500, 0.000, 0.500)

[2]
Here is LiTaTc2 at its PBEsol-relaxed geometry from Alexandria via LeMat-Bulk. Energies are from SCAN.

Output
density = 11.04 g cm⁻³
polymorph energy (0 for the lowest one) = 0.000 eV/atom
DOS at the Fermi energy = 3.35 states/eV/f.u.
energy of formation from the pure elements = 102 meV/atom
uncorrected energy = -138.7 eV/cell
calculated volume = 57.7 Å³ per cell

Lattice parameters (Å, degrees): 5.029 5.029 5.029 144.29 128.06 64.63
Positions (direct):
Li (0.000, 0.000, 0.000)
Ta (0.500, 0.500, 0.000)
Tc (0.255, 0.755, 0.500)
Tc (0.745, 0.245, 0.500)